Density functional theory data (SCAN) for a PBEsol-optimized structure of Ta2TlZn.

E_form, eV/atom: 0.242
Total DFT energy (no corrections), eV per atom: -54.52
Symmetry: Cmm2 (35)

The structure in extended XYZ format:
```
4
Lattice="2.959 0.012 0.000 -1.014 2.780 0.000 0.000 0.000 8.968" Properties=species:S:1:pos:R:3 pbc="T T T"
Ta 0.000 0.000 0.039
Ta 0.972 1.396 6.871
Tl 0.000 0.000 4.414
Zn 0.972 1.396 2.128
```

=====

Density functional theory data (SCAN) for a PBEsol-optimized structure of CdGa2Sn.

E_form, eV/atom: 0.185
Total DFT energy (no corrections), eV per atom: -24.57
Symmetry: Fm-3m (225)

The structure in extended XYZ format:
```
4
Lattice="-0.568 3.970 2.881 -4.321 2.389 0.088 -2.876 -0.247 4.006" Properties=species:S:1:pos:R:3 pbc="T T T"
Sn -3.882 3.056 3.487
Ga -1.941 1.528 1.744
Ga -5.824 4.584 5.231
Cd 0.000 0.000 0.000
```

=====

Density functional theory data (SCAN) for a PBEsol-optimized structure of CdAg2Au.

E_form, eV/atom: -0.140
Total DFT energy (no corrections), eV per atom: -40.72
Symmetry: I-4m2 (119)

The structure in extended XYZ format:
```
4
Lattice="-0.027 -3.998 1.062 4.133 -0.070 -0.159 -1.886 3.067 3.445" Properties=species:S:1:pos:R:3 pbc="T T T"
Au 0.000 0.000 0.000
Ag 2.053 -2.034 0.452
Ag 0.070 -1.482 2.479
Cd 2.150 0.482 1.869
```

=====

Density functional theory data (SCAN) for a PBEsol-optimized structure of BaIrSeBr2.

Uncorrected formation energy, eV per atom: 0.513
Excess energy over the best structure of this formula in the dataset, meV/atom: 1385
Total DFT energy (no corrections), eV per atom: -33.42
Symmetry: P4/mmm (123)

The structure in extended XYZ format:
```
5
Lattice="6.091 0.000 0.000 0.000 6.091 0.000 0.000 0.000 6.243" Properties=species:S:1:pos:R:3 pbc="T T T"
Ir 3.046 3.046 3.122
Se 0.000 0.000 3.122
Ba 0.000 0.000 0.000
Br 0.000 3.046 0.000
Br 3.046 0.000 0.000
```

=====

Density functional theory data (SCAN) for a PBEsol-optimized structure of CrIr2Pt.

E_form, eV/atom: -0.166
Total DFT energy (no corrections), eV per atom: -57.86
Symmetry: Cm (8)

The structure in extended XYZ format:
```
4
Lattice="-1.966 -0.339 1.790 0.962 -4.530 0.198 3.661 1.682 2.334" Properties=species:S:1:pos:R:3 pbc="T T T"
Cr 2.079 -2.662 1.779
Ir 2.640 -3.189 4.302
Ir 0.570 -0.503 2.537
Pt -0.475 -2.455 1.019
```

=====

Density functional theory data (SCAN) for a PBEsol-optimized structure of DyB2.

E_form, eV/atom: -0.640
Total DFT energy (no corrections), eV per atom: -21.53
Symmetry: P6/mmm (191)

The structure in extended XYZ format:
```
3
Lattice="3.269 0.000 0.000 -1.635 2.831 0.000 0.000 0.000 3.828" Properties=species:S:1:pos:R:3 pbc="T T T"
B 0.000 1.888 1.914
B 1.635 0.944 1.914
Dy 0.000 0.000 0.000
```

=====

Density functional theory data (SCAN) for a PBEsol-optimized structure of Li4Mn3CoO8.

Uncorrected formation energy, eV per atom: -2.098
Excess energy over the best structure of this formula in the dataset, meV/atom: 33
Total DFT energy (no corrections), eV per atom: -10.31
Symmetry: R-3m (166)

The structure in extended XYZ format:
```
32
Lattice="-0.010 4.157 3.813 -4.855 2.473 1.465 -2.776 -4.193 8.737" Properties=species:S:1:pos:R:3 pbc="T T T"
Li -4.338 1.845 4.235
Li -3.304 0.592 9.780
Li -1.916 2.687 5.409
Li -5.725 -0.250 8.606
Li -4.343 3.923 6.141
Li -3.299 -1.486 7.874
Li -1.909 0.608 3.503
Li -5.732 1.829 10.512
Mn -3.816 -0.860 5.101
Mn -1.388 -2.097 4.369
Mn 0.000 0.000 0.000
Mn -0.005 2.079 1.907
Mn -2.433 3.315 2.639
Mn -3.821 1.218 7.008
Co -2.428 1.236 0.732
Co -1.393 -0.018 6.275
O -0.946 2.465 3.569
O -4.756 -0.474 6.764
O -2.885 2.911 7.252
O -6.696 -0.028 10.446
O -3.411 1.655 2.460
O -2.377 0.401 8.004
O -0.866 0.359 1.693
O -4.687 1.577 8.701
O -3.416 3.633 4.275
O -2.372 -1.778 6.005
O -5.265 2.036 6.011
O -4.230 0.782 11.555
O -2.954 0.860 5.314
O -6.775 2.078 12.322
O -5.270 4.215 8.010
O -4.226 -1.196 9.740
```

=====

Density functional theory data (SCAN) for a PBEsol-optimized structure of HfAuS2Cl.

Uncorrected formation energy, eV per atom: 0.414
Total DFT energy (no corrections), eV per atom: -31.40
Symmetry: P4/mmm (123)

The structure in extended XYZ format:
```
5
Lattice="4.668 0.000 0.000 0.000 4.751 0.000 0.000 0.000 4.751" Properties=species:S:1:pos:R:3 pbc="T T T"
Hf 2.334 2.376 2.376
S 0.000 0.000 2.376
S 0.000 2.376 0.000
Au 0.000 0.000 0.000
Cl 2.334 0.000 0.000
```

=====

Density functional theory data (SCAN) for a PBEsol-optimized structure of CuPRu2.

E_form, eV/atom: -0.046
Total DFT energy (no corrections), eV per atom: -23.86
Symmetry: Immm (71)

The structure in extended XYZ format:
```
4
Lattice="-2.695 -0.580 -0.586 0.717 -4.168 0.828 -0.028 3.004 3.931" Properties=species:S:1:pos:R:3 pbc="T T T"
Cu -1.348 -0.290 -0.293
P 0.358 -2.084 0.414
Ru -1.418 -2.108 1.830
Ru -0.588 0.364 2.342
```

=====

Density functional theory data (SCAN) for a PBEsol-optimized structure of Ta4InHg.

E_form, eV/atom: 0.452
Total DFT energy (no corrections), eV per atom: -60.86
Symmetry: F-43m (216)

The structure in extended XYZ format:
```
6
Lattice="-3.055 -1.290 -4.361 0.864 -4.715 -2.651 -3.681 -4.044 0.333" Properties=species:S:1:pos:R:3 pbc="T T T"
Hg -4.404 -7.536 -5.009
In 0.000 0.000 0.000
Ta -2.198 -3.762 -2.500
Ta -4.048 -5.794 -2.333
Ta -3.733 -4.410 -4.692
Ta -1.764 -6.131 -3.833
```

=====

Density functional theory data (SCAN) for a PBEsol-optimized structure of HgRu2Pt.

E_form, eV/atom: 0.454
Total DFT energy (no corrections), eV per atom: -51.55
Symmetry: Imm2 (44)

The structure in extended XYZ format:
```
4
Lattice="2.752 0.000 0.000 0.000 4.718 0.000 -1.376 -2.359 4.785" Properties=species:S:1:pos:R:3 pbc="T T T"
Hg 0.000 0.000 4.732
Pt 0.000 2.359 2.523
Ru 0.000 0.000 0.117
Ru 1.376 0.000 2.197
```

=====

Density functional theory data (SCAN) for a PBEsol-optimized structure of Ca2FeRh.

E_form, eV/atom: -0.029
Total DFT energy (no corrections), eV per atom: -17.84
Symmetry: Imm2 (44)

The structure in extended XYZ format:
```
4
Lattice="-0.582 -1.355 -3.155 2.807 -3.744 1.090 -5.106 0.081 2.829" Properties=species:S:1:pos:R:3 pbc="T T T"
Ca -2.684 -4.898 0.676
Ca -2.385 -1.972 -0.636
Fe 0.704 -2.803 -0.848
Rh -0.283 -2.914 1.303
```